1.
Density functional theory data (GGA-PBE) for a relaxed structure of CeGa5Pd7.

The calculation puts the formation energy from the elements at -0.618 eV/atom. The calculation puts the total magnetic moment at 1.03 μB/cell. Its crystal system is orthorhombic.

It has space group Imm2 (No. 44), with a = 5.375 Å, b = 9.098 Å, c = 8.742 Å, α = 90.00°, β = 90.00° and γ = 90.00°. The distinct sites, in fractional coordinates, are Ce at (0.000, 0.000, 0.000), Ga at (0.000, 0.500, 0.269), Ga at (0.246, 0.259, 0.741), Pd at (0.000, 0.000, 0.337), Pd at (0.000, 0.000, 0.666), Pd at (0.000, 0.290, 0.483), Pd at (0.000, 0.340, 0.002) and Pd at (0.000, 0.500, 0.719).

=====

2.
Density functional theory data (GGA-PBE) for a relaxed structure of BaHfTc2.

The calculation puts the formation energy from the elements at 0.925 eV/atom. The calculation puts the total magnetic moment at 0.00 μB/cell. Its crystal system is tetragonal.

It has space group I4_1/amd (No. 141, origin choice 2), with a = 5.029 Å, b = 5.029 Å, c = 18.178 Å, α = 90.00°, β = 90.00° and γ = 90.00°. The distinct sites, in fractional coordinates, are Ba at (0.000, 0.250, 0.375), Hf at (0.000, 0.250, 0.875) and Tc at (0.000, 0.000, 0.000).

=====

3.
Density functional theory data (GGA-PBE) for a relaxed structure of PrHPd.

The total energy comes out at -5.1110 eV/atom. The calculation puts the total magnetic moment at 0.00 μB/cell. Its crystal system is monoclinic.

It has space group P2_1/m (No. 11), with a = 3.938 Å, b = 4.360 Å, c = 6.342 Å, α = 90.00°, β = 107.98° and γ = 90.00°. The distinct sites, in fractional coordinates, are Pr at (0.148, 0.250, 0.295), H at (0.239, 0.750, 0.475) and Pd at (0.431, 0.250, 0.863).

=====

4.
Density functional theory data (GGA-PBE) for a relaxed structure of Th2Ga3Ni4Pt.

The calculation puts the formation energy from the elements at -0.596 eV/atom. The calculation puts the total magnetic moment at 0.00 μB/cell. Its crystal system is tetragonal.

It has space group P-4m2 (No. 115), with a = 4.133 Å, b = 4.133 Å, c = 10.076 Å, α = 90.00°, β = 90.00° and γ = 90.00°. The distinct sites, in fractional coordinates, are Th at (0.000, 0.500, 0.248), Ga at (0.000, 0.500, 0.881), Ga at (0.500, 0.500, 0.500), Ni at (0.000, 0.000, 0.000), Ni at (0.000, 0.500, 0.647), Ni at (0.500, 0.500, 0.000) and Pt at (0.000, 0.000, 0.500).

=====

5.
Density functional theory data (GGA-PBE) for a relaxed structure of Li2SmPd7.

The calculation puts the formation energy from the elements at -0.060 eV/atom. The calculation puts the total magnetic moment at 0.00 μB/cell. Its crystal system is orthorhombic.

It has space group Cmmm (No. 65), with a = 7.139 Å, b = 11.873 Å, c = 4.410 Å, α = 90.00°, β = 90.00° and γ = 90.00°. The distinct sites, in fractional coordinates, are Li at (0.000, 0.215, 0.000), Sm at (0.000, 0.500, 0.500), Pd at (0.000, 0.000, 0.000), Pd at (0.000, 0.123, 0.500) and Pd at (0.192, 0.379, 0.000).

=====

6.
Density functional theory data (GGA-PBE) for a relaxed structure of Sr2AgHgH.

The total energy comes out at -2.2535 eV/atom. The calculation puts the total magnetic moment at 0.00 μB/cell. Its crystal system is tetragonal.

It has space group P4/mmm (No. 123), with a = 5.307 Å, b = 5.307 Å, c = 4.397 Å, α = 90.00°, β = 90.00° and γ = 90.00°. The distinct sites, in fractional coordinates, are Sr at (0.000, 0.500, 0.000), Ag at (0.000, 0.000, 0.500), Hg at (0.500, 0.500, 0.500) and H at (0.500, 0.500, 0.000).

=====

7.
Density functional theory data (GGA-PBE) for a relaxed structure of AcMgBi4.

The calculation puts the formation energy from the elements at -0.138 eV/atom. The calculation puts the total magnetic moment at 0.00 μB/cell. Its crystal system is cubic.

It has space group F-43m (No. 216), with a = 9.358 Å, b = 9.358 Å, c = 9.358 Å, α = 90.00°, β = 90.00° and γ = 90.00°. The distinct sites, in fractional coordinates, are Ac at (0.000, 0.000, 0.000), Mg at (0.250, 0.250, 0.750) and Bi at (0.124, 0.124, 0.376).

=====

8.
Density functional theory data (GGA-PBE) for a relaxed structure of Tm5Cd2Ni2.

The calculation puts the formation energy from the elements at -0.317 eV/atom. The calculation puts the total magnetic moment at 0.00 μB/cell. Its crystal system is orthorhombic.

It has space group Cmce (No. 64), with a = 16.192 Å, b = 7.309 Å, c = 7.237 Å, α = 90.00°, β = 90.00° and γ = 90.00°. The distinct sites, in fractional coordinates, are Tm at (0.000, 0.000, 0.000), Tm at (0.117, 0.179, 0.325), Cd at (0.223, 0.000, 0.000) and Ni at (0.000, 0.122, 0.621).

=====

9.
Density functional theory data (GGA-PBE) for a relaxed structure of KTlZn3.

The calculation puts the formation energy from the elements at 0.320 eV/atom. The calculation puts the total magnetic moment at 0.00 μB/cell. Its crystal system is cubic.

It has space group Pm-3m (No. 221), with a = 5.496 Å, b = 5.496 Å, c = 5.496 Å, α = 90.00°, β = 90.00° and γ = 90.00°. The distinct sites, in fractional coordinates, are K at (0.000, 0.000, 0.000), Tl at (0.500, 0.500, 0.500) and Zn at (0.000, 0.500, 0.500).

=====

10.
Density functional theory data (GGA-PBE) for a relaxed structure of TcBPt3.

The calculation puts the formation energy from the elements at 0.304 eV/atom. The calculation puts the total magnetic moment at 4.13 μB/cell. Its crystal system is cubic.

It has space group Pm-3m (No. 221), with a = 4.233 Å, b = 4.233 Å, c = 4.233 Å, α = 90.00°, β = 90.00° and γ = 90.00°. The distinct sites, in fractional coordinates, are Tc at (0.000, 0.000, 0.000), B at (0.500, 0.500, 0.500) and Pt at (0.000, 0.500, 0.500).

=====

11.
Density functional theory data (GGA-PBE) for a relaxed structure of NpPdSe.

As for the formation energy from raw total energies: -0.551 eV/atom. The calculation puts the total magnetic moment at 4.55 μB/cell. Its crystal system is hexagonal.

It has space group P-6m2 (No. 187), with a = 4.4431 Å, b = 4.4431 Å, c = 3.6463 Å, α = 90.00°, β = 90.00° and γ = 120.00°. The distinct sites, in fractional coordinates, are Np at (0.0000, 0.0000, 0.0000), Pd at (0.6667, 0.3333, 0.5000) and Se at (0.3333, 0.6667, 0.5000).

=====

12.
Density functional theory data (GGA-PBE) for a relaxed structure of La6PmSm2Mg.

The calculation puts the formation energy from the elements at 0.084 eV/atom. The calculation puts the total magnetic moment at 0.00 μB/cell. Its crystal system is monoclinic.

It has space group C2/c (No. 15), with a = 10.696 Å, b = 13.879 Å, c = 9.546 Å, α = 90.00°, β = 99.30° and γ = 90.00°. The distinct sites, in fractional coordinates, are La at (0.057, 0.120, 0.099), La at (0.090, 0.330, 0.919), La at (0.245, 0.289, 0.327), Pm at (0.000, 0.430, 0.250), Sm at (0.232, 0.468, 0.595) and Mg at (0.000, 0.097, 0.750).

=====

13.
Density functional theory data (GGA-PBE) for a relaxed structure of CeEr8Sc4.

The calculation puts the formation energy from the elements at 0.207 eV/atom. The calculation puts the total magnetic moment at 0.00 μB/cell. Its crystal system is trigonal.

It has space group R-3m (No. 166, hexagonal axes), with a = 7.0615 Å, b = 7.0615 Å, c = 25.7806 Å, α = 90.00°, β = 90.00° and γ = 120.00°. The distinct sites, in fractional coordinates, are Ce at (0.0000, 0.0000, 0.0000), Er at (0.0000, 0.0000, 0.2780), Er at (0.0298, 0.5149, 0.2668), Sc at (0.0000, 0.0000, 0.5000) and Sc at (0.0000, 0.5000, 0.5000).

=====

14.
Density functional theory data (GGA-PBE) for a relaxed structure of Pb4F5.

As for the formation energy from raw total energies: -1.667 eV/atom. The calculation puts the total magnetic moment at 0.00 μB/cell. Its crystal system is monoclinic.

It has space group C2/m (No. 12), with a = 10.490 Å, b = 8.065 Å, c = 4.852 Å, α = 90.00°, β = 99.29° and γ = 90.00°. The distinct sites, in fractional coordinates, are Pb at (0.130, 0.225, 0.238), F at (0.000, 0.000, 0.500), F at (0.000, 0.345, 0.500) and F at (0.185, 0.500, 0.114).

=====

15.
Density functional theory data (GGA-PBE) for a relaxed structure of LaNd12Er3.

The calculation puts the formation energy from the elements at 0.015 eV/atom. The calculation puts the total magnetic moment at 0.00 μB/cell. Its crystal system is tetragonal.

It has space group P4/mmm (No. 123), with a = 5.166 Å, b = 5.166 Å, c = 20.659 Å, α = 90.00°, β = 90.00° and γ = 90.00°. The distinct sites, in fractional coordinates, are La at (0.000, 0.000, 0.000), Nd at (0.000, 0.500, 0.128), Nd at (0.000, 0.500, 0.376), Nd at (0.500, 0.500, 0.000), Nd at (0.500, 0.500, 0.253), Nd at (0.500, 0.500, 0.500), Er at (0.000, 0.000, 0.252) and Er at (0.000, 0.000, 0.500).

=====

16.
Density functional theory data (GGA-PBE) for a relaxed structure of Sc3B.

The calculation puts the formation energy from the elements at 0.002 eV/atom. The calculation puts the total magnetic moment at 0.00 μB/cell. Its crystal system is orthorhombic.

It has space group Immm (No. 71), with a = 3.171 Å, b = 4.541 Å, c = 10.387 Å, α = 90.00°, β = 90.00° and γ = 90.00°. The distinct sites, in fractional coordinates, are Sc at (0.000, 0.000, 0.000), Sc at (0.000, 0.500, 0.185) and B at (0.000, 0.000, 0.500).

=====

17.
Density functional theory data (GGA-PBE) for a relaxed structure of Ce2SmHgN.

As for the formation energy from raw total energies: -0.747 eV/atom. The calculation puts the total magnetic moment at 1.27 μB/cell. Its crystal system is tetragonal.

It has space group P4/mmm (No. 123), with a = 4.865 Å, b = 4.865 Å, c = 5.007 Å, α = 90.00°, β = 90.00° and γ = 90.00°. The distinct sites, in fractional coordinates, are Ce at (0.000, 0.500, 0.000), Sm at (0.000, 0.000, 0.500), Hg at (0.500, 0.500, 0.500) and N at (0.000, 0.000, 0.000).

=====

18.
Density functional theory data (GGA-PBE) for a relaxed structure of KHg6F8.

As for the formation energy from raw total energies: -1.346 eV/atom. The calculation puts the total magnetic moment at 0.00 μB/cell. Its crystal system is trigonal.

It has space group R-3 (No. 148, hexagonal axes), with a = 8.4503 Å, b = 8.4503 Å, c = 16.0023 Å, α = 90.00°, β = 90.00° and γ = 120.00°. The distinct sites, in fractional coordinates, are K at (0.0000, 0.0000, 0.0000), Hg at (0.0044, 0.5029, 0.0814), F at (0.0000, 0.0000, 0.3979) and F at (0.0535, 0.5242, 0.7854).

=====

19.
Density functional theory data (GGA-PBE) for a relaxed structure of CrSeS.

As for the formation energy from raw total energies: -0.429 eV/atom. The calculation puts the total magnetic moment at 0.04 μB/cell. Its crystal system is trigonal.

It has space group P3m1 (No. 156), with a = 3.1372 Å, b = 3.1372 Å, c = 6.7466 Å, α = 90.00°, β = 90.00° and γ = 120.00°. The distinct sites, in fractional coordinates, are Cr at (0.0000, 0.0000, 0.0000), Se at (0.6667, 0.3333, 0.7539) and S at (0.3333, 0.6667, 0.2081).

=====

20.
Density functional theory data (GGA-PBE) for a relaxed structure of Ce3Th4ScAs8.

The calculation puts the formation energy from the elements at -1.397 eV/atom. The calculation puts the total magnetic moment at 5.78 μB/cell. Its crystal system is trigonal.

It has space group R-3m (No. 166, hexagonal axes), with a = 8.4137 Å, b = 8.4137 Å, c = 20.5421 Å, α = 90.00°, β = 90.00° and γ = 120.00°. The distinct sites, in fractional coordinates, are Ce at (0.0000, 0.5000, 0.0000), Th at (0.0000, 0.0000, 0.5000), Th at (0.0000, 0.5000, 0.5000), Sc at (0.0000, 0.0000, 0.0000), As at (0.0000, 0.0000, 0.2511) and As at (0.0078, 0.5039, 0.7469).

=====

21.
Density functional theory data (GGA-PBE) for a relaxed structure of SmDyAg.

The calculation puts the formation energy from the elements at -0.025 eV/atom. The calculation puts the total magnetic moment at 0.00 μB/cell. Its crystal system is trigonal.

It has space group P3m1 (No. 156), with a = 5.0838 Å, b = 5.0838 Å, c = 3.6977 Å, α = 90.00°, β = 90.00° and γ = 120.00°. The distinct sites, in fractional coordinates, are Sm at (0.0000, 0.0000, 0.0000), Dy at (0.3333, 0.6667, 0.5481) and Ag at (0.6667, 0.3333, 0.3112).

=====

22.
Density functional theory data (GGA-PBE) for a relaxed structure of TaInPb2.

The calculation puts the formation energy from the elements at 0.575 eV/atom. The calculation puts the total magnetic moment at 0.00 μB/cell. Its crystal system is orthorhombic.

It has space group Pmmm (No. 47), with a = 3.250 Å, b = 5.476 Å, c = 5.559 Å, α = 90.00°, β = 90.00° and γ = 90.00°. The distinct sites, in fractional coordinates, are Ta at (0.000, 0.000, 0.000), In at (0.500, 0.000, 0.500), Pb at (0.000, 0.500, 0.500) and Pb at (0.500, 0.500, 0.000).

=====

23.
Density functional theory data (GGA-PBE) for a relaxed structure of TmSbRhAu.

As for the formation energy from raw total energies: -0.583 eV/atom. The calculation puts the total magnetic moment at 0.00 μB/cell. Its crystal system is cubic.

It has space group F-43m (No. 216), with a = 6.838 Å, b = 6.838 Å, c = 6.838 Å, α = 90.00°, β = 90.00° and γ = 90.00°. The distinct sites, in fractional coordinates, are Tm at (0.000, 0.000, 0.000), Sb at (0.000, 0.000, 0.500), Rh at (0.250, 0.250, 0.750) and Au at (0.250, 0.250, 0.250).

=====

24.
Density functional theory data (GGA-PBE) for a relaxed structure of SmScGa4.

The calculation puts the formation energy from the elements at -0.605 eV/atom. The calculation puts the total magnetic moment at 0.00 μB/cell. Its crystal system is hexagonal.

It has space group P6/mmm (No. 191), with a = 4.4120 Å, b = 4.4120 Å, c = 6.9437 Å, α = 90.00°, β = 90.00° and γ = 120.00°. The distinct sites, in fractional coordinates, are Sm at (0.0000, 0.0000, 0.0000), Sc at (0.0000, 0.0000, 0.5000) and Ga at (0.3333, 0.6667, 0.2734).